# AlCr2O | the Alexandria database | GGA+U | optimized geometry
# ΔE to the lowest computed polymorph   0.547 eV per atom
# DFT total energy   -89.64 eV for the cell shown
data_AlCr2O
_cell_length_a 6.258
_cell_length_b 6.258
_cell_length_c 6.258
_cell_angle_alpha 90.00
_cell_angle_beta 90.00
_cell_angle_gamma 90.00
_symmetry_space_group_name_H-M 'F m -3 m'
_symmetry_Int_Tables_number 225
_symmetry_space_group_name_Hall '-F 4 2 3'
loop_
_atom_site_label
_atom_site_type_symbol
_atom_site_fract_x
_atom_site_fract_y
_atom_site_fract_z
_atom_site_occupancy
Al1 Al 0.000 0.000 0.000 1
Cr1 Cr 0.250 0.250 0.250 1
O1 O 0.000 0.000 0.500 1